Material: GeHS
Method: DFT, GGA-PBE
State: optimized geometry

```
data_GeHS
_chemical_formula_sum 'Ge4 H4 S4'
_cell_length_a 6.142
_cell_length_b 5.702
_cell_length_c 7.086
_cell_angle_alpha 90.00
_cell_angle_beta 111.30
_cell_angle_gamma 90.00
_space_group_name_H-M_alt 'P 1 21/c 1'
_space_group_IT_number 14
loop_
_space_group_symop_operation_xyz
'x,y,z'
'-x,-y,-z'
'-x,y+1/2,-z+1/2'
'x,-y+1/2,z+1/2'
loop_
_atom_site_label
_atom_site_fract_x
_atom_site_fract_y
_atom_site_fract_z
Ge1 0.014 0.248 0.256
H1 0.327 0.507 0.607
S1 0.283 0.743 0.588
```

Output
Its uncorrected energy is -4.0421 eV/atom.